[1]
This record from the Alexandria database describes a geometry-optimized Ca2HgSbAs structure. The functional is PBE-GGA.

Lattice parameters (Å, degrees): 8.111 4.329 8.567 90.00 113.91 90.00
Space group P2_1/m (No. 11)
Asymmetric unit:
1 Ca 0.043 0.250 0.337 x2
2 Ca 0.448 0.750 0.299 x2
3 Hg 0.374 0.750 0.901 x2
4 Sb 0.142 0.250 0.995 x2
5 As 0.274 0.750 0.547 x2

Raw total energy ... -17.1 eV per formula unit
Total moment ... 0.0 μB/f.u.

[2]
This record from the Alexandria database describes a geometry-optimized NaCaNdCl6 structure. The functional is PBE-GGA.

Lattice parameters (Å, degrees): 7.1110 7.1110 12.4092 90.00 90.00 120.00
Space group P-31c (No. 163)
Asymmetric unit:
1 Na 0.0000 0.0000 0.0000 x2
2 Ca 0.3333 0.6667 0.2500 x2
3 Nd 0.3333 0.6667 0.7500 x2
4 Cl 0.0000 0.3491 0.1294 x12

Raw total energy ... -39.0 eV per formula unit
Total moment ... 0.0 μB/f.u.

[3]
This record from the Alexandria database describes a geometry-optimized NbS5Cl structure. The functional is PBE-GGA.

Lattice parameters (Å, degrees): 4.969 5.270 11.827 90.00 90.00 90.00
Space group Imm2 (No. 44)
Asymmetric unit:
1 Nb 0.000 0.000 0.000 x2
2 S 0.000 0.000 0.196 x2
3 S 0.000 0.311 0.546 x4
4 S 0.197 0.000 0.802 x4
5 Cl 0.000 0.500 0.962 x2

Raw total energy ... -33.7 eV per formula unit
Total moment ... 0.0 μB/f.u.